Entry from Alexandria via LeMat-Bulk: crystalline MgHg2RhPb at its relaxed geometry (GGA-PBE).

Cell lengths 5.0960, 5.0960, 5.4455 Å; angles 90.00, 90.00, 90.00 degrees
Closest atoms and distances in Å follow each position.
Fractional coordinates of all 5 atoms:
Mg (0.0000, 0.0000, 0.0000)  4 Hg 2.55, 2 Pb 2.72
Hg (0.0000, 0.5000, 0.0000)  2 Mg 2.55
Hg (0.5000, 0.0000, 0.0000)  2 Mg 2.55
Rh (0.5000, 0.5000, 0.5000)  4 Pb 3.60, 8 Hg 3.73
Pb (0.0000, 0.0000, 0.5000)  2 Mg 2.72

Output
The calculation puts the formation enthalpy at 0 K at 4.344 eV/f.u. For the magnetization, the calculation gives 0.79 μB/f.u. The density of states at the Fermi level comes out at 5.6 states/eV/f.u. The calculation puts the mass density at 8.6 g/cm³.



Entry from Alexandria via LeMat-Bulk: crystalline Sr2TcSb at its relaxed geometry (GGA-PBE).

Cell lengths 4.9305, 4.9305, 4.6198 Å; angles 90.00, 90.00, 90.00 degrees
Closest atoms and distances in Å follow each position.
Fractional coordinates of all 4 atoms:
Sr (0.0000, 0.5000, 0.0000)  4 Tc 3.38, 4 Sb 3.38, 4 Sr 3.49
Sr (0.5000, 0.0000, 0.0000)  4 Tc 3.38, 4 Sb 3.38, 4 Sr 3.49
Tc (0.0000, 0.0000, 0.5000)  8 Sr 3.38, 4 Sb 3.49
Sb (0.5000, 0.5000, 0.5000)  8 Sr 3.38, 4 Tc 3.49

Output
Its raw formation energy is 0.8 eV per formula unit. For the magnetization, the calculation gives 2.15 μB/f.u. The density of states at the Fermi level comes out at 4.4 states/eV/f.u. The calculation puts the mass density at 5.8 g/cm³.



Entry from Alexandria via LeMat-Bulk: crystalline Hf2Al9Rh3 at its relaxed geometry (GGA-PBE).

Cell lengths 7.4577, 7.4577, 10.1560 Å; angles 111.42, 111.42, 59.84 degrees
Closest atoms and distances in Å follow each position.
Fractional coordinates of all 28 atoms:
Hf (0.0859, 0.2531, 0.2498)  11 Al 2.92-3.04
Hf (0.2531, 0.0859, 0.7498)  11 Al 2.92-3.04
Hf (0.7469, 0.9141, 0.2502)  11 Al 2.92-3.04
Hf (0.9141, 0.7469, 0.7502)  11 Al 2.92-3.04
Al (0.0225, 0.8620, 0.0776)  3 Rh 2.49-2.60, 2 Al 2.72-2.73
Al (0.1380, 0.9775, 0.4224)  3 Rh 2.49-2.60, 2 Al 2.72-2.73
Al (0.1895, 0.3593, 0.5758)  3 Rh 2.50-2.59, 2 Al 2.72-2.73
Al (0.2038, 0.5817, 0.2521)  2 Rh 2.47-2.49, 3 Al 2.72-2.73
Al (0.3099, 0.4810, 0.9386)  3 Rh 2.53-2.63, 5 Al 2.76-2.80
Al (0.3593, 0.1895, 0.0758)  3 Rh 2.50-2.59, 2 Al 2.72-2.73
Al (0.3631, 0.6369, 0.7500)  2 Rh 2.48, 2 Al 2.73
Al (0.4183, 0.7962, 0.2479)  2 Rh 2.47-2.49, 3 Al 2.72-2.73
Al (0.4810, 0.3099, 0.4386)  3 Rh 2.53-2.63, 5 Al 2.76-2.80
Al (0.5190, 0.6901, 0.5614)  3 Rh 2.53-2.63, 5 Al 2.76-2.80
Al (0.5817, 0.2038, 0.7521)  2 Rh 2.47-2.49, 3 Al 2.72-2.73
Al (0.6369, 0.3631, 0.2500)  2 Rh 2.48, 2 Al 2.73
Al (0.6407, 0.8105, 0.9242)  3 Rh 2.50-2.59, 2 Al 2.72-2.73
Al (0.6901, 0.5190, 0.0614)  3 Rh 2.53-2.63, 5 Al 2.76-2.80
Al (0.7962, 0.4183, 0.7479)  2 Rh 2.47-2.49, 3 Al 2.72-2.73
Al (0.8105, 0.6407, 0.4242)  3 Rh 2.50-2.59, 2 Al 2.72-2.73
Al (0.8620, 0.0225, 0.5776)  3 Rh 2.49-2.60, 2 Al 2.72-2.73
Al (0.9775, 0.1380, 0.9224)  3 Rh 2.49-2.60, 2 Al 2.72-2.73
Rh (0.0000, 0.5000, 0.0000)  8 Al 2.49-2.60
Rh (0.1534, 0.6733, 0.4999)  8 Al 2.47-2.63
Rh (0.3267, 0.8466, 0.0001)  8 Al 2.47-2.63
Rh (0.5000, 0.0000, 0.5000)  8 Al 2.49-2.60
Rh (0.6733, 0.1534, 0.9999)  8 Al 2.47-2.63
Rh (0.8466, 0.3267, 0.5001)  8 Al 2.47-2.63

Output
The calculation puts the formation enthalpy at 0 K at -10.411 eV/f.u. For the magnetization, the calculation gives 0.00 μB/f.u. The density of states at the Fermi level comes out at 2.0 states/eV/f.u. The calculation puts the mass density at 6.8 g/cm³.



Entry from Alexandria via LeMat-Bulk: crystalline La3CePr4S8 at its relaxed geometry (GGA-PBE).

Cell lengths 8.2226, 8.2226, 8.2226 Å; angles 60.14, 60.14, 60.14 degrees
Closest atoms and distances in Å follow each position.
Fractional coordinates of all 16 atoms:
La (0.0000, 0.5000, 0.5000)  6 S 2.92
La (0.5000, 0.0000, 0.5000)  6 S 2.92
La (0.5000, 0.5000, 0.0000)  6 S 2.92
Ce (0.0000, 0.0000, 0.0000)  6 S 2.88
Pr (0.0000, 0.0000, 0.5000)  6 S 2.90
Pr (0.0000, 0.5000, 0.0000)  6 S 2.90
Pr (0.5000, 0.0000, 0.0000)  6 S 2.90
Pr (0.5000, 0.5000, 0.5000)  6 S 2.94
S (0.2462, 0.7526, 0.7526)  1 Ce 2.88, 3 Pr 2.90-2.94, 2 La 2.92
S (0.2474, 0.2474, 0.7538)  1 Ce 2.88, 3 Pr 2.90-2.94, 2 La 2.92
S (0.2474, 0.7538, 0.2474)  1 Ce 2.88, 3 Pr 2.90-2.94, 2 La 2.92
S (0.2494, 0.2494, 0.2494)  3 Pr 2.90, 3 La 2.92
S (0.7506, 0.7506, 0.7506)  3 Pr 2.90, 3 La 2.92
S (0.7526, 0.2462, 0.7526)  1 Ce 2.88, 3 Pr 2.90-2.94, 2 La 2.92
S (0.7526, 0.7526, 0.2462)  1 Ce 2.88, 3 Pr 2.90-2.94, 2 La 2.92
S (0.7538, 0.2474, 0.2474)  1 Ce 2.88, 3 Pr 2.90-2.94, 2 La 2.92

Output
Its raw formation energy is -33.3 eV per formula unit. For the magnetization, the calculation gives 0.77 μB/f.u. The density of states at the Fermi level comes out at 11.6 states/eV/f.u. The calculation puts the mass density at 5.8 g/cm³.